Record 1
## ZrScBe2 (PBE)

Data for crystalline ZrScBe2 at its relaxed geometry.

Cell lengths 5.408, 5.408, 4.275 Å; angles 66.71, 66.71, 33.88 degrees
Positions (direct):
Sc 0.487 0.487 0.513
Be 0.047 0.047 0.953
Be 0.706 0.706 0.794
Zr 0.259 0.259 0.240

Summary:
The formation energy comes out at -1.9 kJ per mole of atoms. For the density of states at the Fermi level, the calculation gives 2.102 states/eV/f.u. As for the spin magnetization: 0.000 μB/atom. As for the space group: No. 44. The total energy is -5.602 eV per atom. For the energy above the most stable polymorph in this dataset, the calculation gives 0.0511 eV/atom.

---

Record 2
## NiSb2TeC (PBE)

Data for crystalline NiSb2TeC at its relaxed geometry.

Cell lengths 4.644, 4.644, 4.730 Å; angles 90.00, 90.00, 90.00 degrees
Positions (direct):
Sb 0.000 0.500 0.000
Sb 0.500 0.000 0.000
C 0.000 0.000 0.000
Te 0.000 0.000 0.500
Ni 0.500 0.500 0.500

Summary:
For the density of states at the Fermi level, the calculation gives 2.452 states/eV/f.u. As for the spin magnetization: 0.000 μB/atom. As for the space group: No. 123. The total energy is -4.126 eV per atom. For the energy above the most stable polymorph in this dataset, the calculation gives 0.0000 eV/atom. For the formation energy from raw total energies, the calculation gives 1.15 eV per atom.

---

Record 3
## Rb2Na12Hg7 (PBE)

Data for crystalline Rb2Na12Hg7 at its relaxed geometry.

Cell lengths 4.866, 12.858, 12.858 Å; angles 120.00, 90.00, 90.00 degrees
Positions (direct):
Rb 0.500 0.000 0.000
Rb 0.000 0.667 0.333
Na 0.500 0.903 0.619
Na 0.500 0.716 0.097
Na 0.500 0.381 0.284
Na 0.500 0.240 0.789
Na 0.500 0.549 0.760
Na 0.500 0.211 0.451
Na 0.000 0.057 0.545
Na 0.000 0.489 0.943
Na 0.000 0.455 0.511
Na 0.000 0.767 0.718
Na 0.000 0.951 0.233
Na 0.000 0.282 0.049
Hg 0.000 0.333 0.667
Hg 0.000 0.052 0.793
Hg 0.000 0.740 0.948
Hg 0.000 0.207 0.260
Hg 0.500 0.624 0.544
Hg 0.500 0.920 0.376
Hg 0.500 0.456 0.080

Summary:
The formation energy comes out at -16.7 kJ per mole of atoms. For the density of states at the Fermi level, the calculation gives 9.662 states/eV/f.u. As for the spin magnetization: 0.000 μB/atom. As for the space group: No. 174. The total energy is -1.120 eV per atom.

---

Record 4
## Y2Mg2Ag (PBE)

Data for crystalline Y2Mg2Ag at its relaxed geometry.

Cell lengths 7.093, 7.093, 5.159 Å; angles 90.00, 90.00, 90.00 degrees
Last column: magnetic moment on the atom in μB.
Positions (direct):
Y 0.170 0.670 0.500  0.17
Y 0.670 0.830 0.500  0.18
Y 0.830 0.330 0.500  0.17
Y 0.330 0.170 0.500  0.18
Mg 0.359 0.859 0.000  0.01
Mg 0.859 0.641 0.000  0.01
Mg 0.641 0.141 0.000  0.01
Mg 0.141 0.359 0.000  0.01
Ag 0.000 0.000 0.000  0.01
Ag 0.500 0.500 0.000  0.01

Summary:
The formation energy comes out at -4.4 kJ per mole of atoms. For the density of states at the Fermi level, the calculation gives 4.554 states/eV/f.u. As for the spin magnetization: 0.198 μB/atom. As for the space group: No. 127. The total energy is -3.839 eV per atom. For the energy above the most stable polymorph in this dataset, the calculation gives 0.1170 eV/atom.

---

Record 5
## CuSbAu14 (PBE)

Data for crystalline CuSbAu14 at its relaxed geometry.

Cell lengths 6.051, 6.051, 9.598 Å; angles 90.00, 90.00, 123.53 degrees
Positions (direct):
Cu 0.039 0.961 0.500
Sb 0.534 0.466 0.500
Au 0.211 0.789 0.000
Au 0.716 0.284 0.000
Au 0.039 0.465 0.500
Au 0.213 0.284 0.000
Au 0.535 0.961 0.500
Au 0.716 0.787 0.000
Au 0.372 0.123 0.747
Au 0.372 0.123 0.253
Au 0.877 0.628 0.747
Au 0.877 0.628 0.253
Au 0.372 0.628 0.757
Au 0.372 0.628 0.243
Au 0.878 0.122 0.743
Au 0.878 0.122 0.257

Summary:
For the density of states at the Fermi level, the calculation gives 5.392 states/eV/f.u. As for the spin magnetization: 0.000 μB/atom. As for the space group: No. 38. The total energy is -3.349 eV per atom. For the formation energy from raw total energies, the calculation gives 0.03 eV per atom.

---

Record 6
## Rb2HgHSe (PBE)

Data for crystalline Rb2HgHSe at its relaxed geometry.

Cell lengths 5.796, 5.796, 4.232 Å; angles 90.00, 90.00, 90.00 degrees
Positions (direct):
H 0.000 0.000 0.000
Se 0.500 0.500 0.500
Hg 0.000 0.000 0.500
Rb 0.000 0.500 0.000
Rb 0.500 0.000 0.000

Summary:
For the density of states at the Fermi level, the calculation gives 0.743 states/eV/f.u. As for the spin magnetization: 0.000 μB/atom. As for the space group: No. 123. The total energy is -2.235 eV per atom.

---

Record 7
## MoH4 (PBE)

Data for crystalline MoH4 at its relaxed geometry.

Cell lengths 3.569, 3.569, 3.569 Å; angles 90.00, 90.00, 90.00 degrees
Last column: magnetic moment on the atom in μB.
Positions (direct):
H 0.000 0.000 0.000  -0.25
H 0.500 0.000 0.500  -0.03
H 0.000 0.500 0.500  -0.03
H 0.500 0.500 0.000  -0.03
Mo 0.500 0.500 0.500  2.27

Summary:
For the density of states at the Fermi level, the calculation gives 0.503 states/eV/f.u. As for the spin magnetization: 0.397 μB/atom. As for the space group: No. 221. The total energy is -3.983 eV per atom.

---

Record 8
## Ba2LiSi3Pt12 (PBE)

Data for crystalline Ba2LiSi3Pt12 at its relaxed geometry.

Cell lengths 7.786, 7.786, 7.786 Å; angles 64.60, 64.60, 64.60 degrees
Positions (direct):
Ba 0.618 0.618 0.618
Ba 0.382 0.382 0.382
Li 0.000 0.000 0.000
Si 0.500 0.000 0.000
Si 0.000 0.500 0.000
Si 0.000 0.000 0.500
Pt 0.349 0.349 0.903
Pt 0.884 0.884 0.357
Pt 0.357 0.884 0.884
Pt 0.903 0.349 0.349
Pt 0.884 0.357 0.884
Pt 0.349 0.903 0.349
Pt 0.651 0.651 0.097
Pt 0.116 0.116 0.643
Pt 0.643 0.116 0.116
Pt 0.097 0.651 0.651
Pt 0.116 0.643 0.116
Pt 0.651 0.097 0.651

Summary:
For the density of states at the Fermi level, the calculation gives 6.319 states/eV/f.u. As for the spin magnetization: 0.000 μB/atom. As for the space group: No. 166. The total energy is -5.635 eV per atom. For the formation energy from raw total energies, the calculation gives -0.38 eV per atom.

---

Please write out number 7 again, unchanged.
## MoH4 (PBE)

Data for crystalline MoH4 at its relaxed geometry.

Cell lengths 3.569, 3.569, 3.569 Å; angles 90.00, 90.00, 90.00 degrees
Last column: magnetic moment on the atom in μB.
Positions (direct):
H 0.000 0.000 0.000  -0.25
H 0.500 0.000 0.500  -0.03
H 0.000 0.500 0.500  -0.03
H 0.500 0.500 0.000  -0.03
Mo 0.500 0.500 0.500  2.27

Summary:
For the density of states at the Fermi level, the calculation gives 0.503 states/eV/f.u. As for the spin magnetization: 0.397 μB/atom. As for the space group: No. 221. The total energy is -3.983 eV per atom.

---

> Look up the spin magnetization of the first one.

0.000 μB/atom